Entry 1:
! Li2MnHPd | Alexandria | GGA-PBE | optimized geometry; values from VASP
! - SG: No. 123
! - Fermi-level density of states: 1.35 states/eV/f.u.
! - Total energy: -22.436 eV/cell
&SYSTEM
  ibrav = 0, nat = 5, ntyp = 4
/
ATOMIC_SPECIES
Li 6.94 Li.upf
Mn 54.94 Mn.upf
H 1.01 H.upf
Pd 106.42 Pd.upf
CELL_PARAMETERS angstrom
3.829 0.000 0.000
0.000 3.829 0.000
0.000 0.000 3.969
ATOMIC_POSITIONS crystal
Li 0.000 0.500 0.000
Li 0.500 0.000 0.000
Mn 0.000 0.000 0.500
H 0.000 0.000 0.000
Pd 0.500 0.500 0.500

Entry 2:
! LiMn2HPt | Alexandria | GGA-PBE | optimized geometry; values from VASP
! - SG: No. 123
! - Fermi-level density of states: 4.48 states/eV/f.u.
! - Total energy: -30.376 eV/cell
&SYSTEM
  ibrav = 0, nat = 5, ntyp = 4
/
ATOMIC_SPECIES
Li 6.94 Li.upf
Mn 54.94 Mn.upf
H 1.01 H.upf
Pt 195.08 Pt.upf
CELL_PARAMETERS angstrom
3.738 0.000 0.000
0.000 3.738 0.000
0.000 0.000 3.898
ATOMIC_POSITIONS crystal
Li 0.000 0.000 0.000
Mn 0.000 0.500 0.500
Mn 0.500 0.000 0.500
H 0.000 0.000 0.500
Pt 0.500 0.500 0.000